Entry 1:
# BaBe2Cr (PBE, relaxed)
data_BaBe2Cr
_cell_length_a 3.122
_cell_length_b 5.006
_cell_length_c 5.006
_cell_angle_alpha 90.00
_cell_angle_beta 90.00
_cell_angle_gamma 90.00
_symmetry_space_group_name_H-M 'P 1'
_symmetry_Int_Tables_number 1
loop_
_symmetry_equiv_pos_as_xyz
'x,y,z'
loop_
_atom_site_label
_atom_site_fract_x
_atom_site_fract_y
_atom_site_fract_z
_atom_site_occupancy
Cr1 0.500 0.500 0.000 1
Ba1 0.500 0.000 0.500 1
Be1 0.000 0.000 0.000 1
Be2 0.000 0.500 0.500 1
# ρ, g/cm³: 4.402
# Offset from the most stable computed form, meV per atom: 707
# Raw total energy, eV for the cell shown: -14.53
# Space group: P4/mmm (123)
# ΔE_f, meV/atom: 1116
# DOS(E_F), states/eV/f.u.: 3.1

***

Entry 2:
# Sm8Cu2Os (PBE, relaxed)
data_Sm8Cu2Os
_cell_length_a 6.166
_cell_length_b 7.817
_cell_length_c 7.817
_cell_angle_alpha 114.59
_cell_angle_beta 101.79
_cell_angle_gamma 101.79
_symmetry_space_group_name_H-M 'P 1'
_symmetry_Int_Tables_number 1
loop_
_symmetry_equiv_pos_as_xyz
'x,y,z'
loop_
_atom_site_label
_atom_site_fract_x
_atom_site_fract_y
_atom_site_fract_z
_atom_site_occupancy
Sm1 0.591 0.345 0.090 1
Sm2 0.591 0.090 0.345 1
Sm3 0.180 0.359 0.359 1
Sm4 0.985 0.198 0.801 1
Sm5 0.985 0.801 0.198 1
Sm6 0.803 0.646 0.646 1
Sm7 0.353 0.913 0.658 1
Sm8 0.353 0.658 0.913 1
Cu1 0.493 0.701 0.317 1
Cu2 0.493 0.317 0.701 1
Os1 0.172 0.005 0.005 1
# ρ, g/cm³: 7.960
# Offset from the most stable computed form, meV per atom: 104
# Raw total energy, eV for the cell shown: -56.95
# Space group: Cm (8)
# ΔE_f, meV/atom: 20
# DOS(E_F), states/eV/f.u.: 15.7